! ZnTeOs | Alexandria via LeMat-Bulk | GGA-PBE | optimized geometry; values from VASP
&SYSTEM
  ibrav = 0, nat = 3, ntyp = 3
/
ATOMIC_SPECIES
Os 190.23 Os.upf
Te 127.60 Te.upf
Zn 65.41 Zn.upf
ATOMIC_POSITIONS crystal
Os 0.996 0.996 0.000
Te 0.343 0.343 0.000
Zn 0.661 0.661 0.000
CELL_PARAMETERS angstrom
-2.925 -3.661 -1.453
2.002 -4.390 -0.883
-0.309 3.443 3.481
! ΔE_f (raw) = 56.2 kJ per mole of atoms
! Crystal system = orthorhombic
! Relative energy among the computed polymorphs = 0.526 eV/f.u.

***

! ZnTeOs2 | Alexandria via LeMat-Bulk | GGA-PBE | optimized geometry; values from VASP
&SYSTEM
  ibrav = 0, nat = 4, ntyp = 3
/
ATOMIC_SPECIES
Os 190.23 Os.upf
Te 127.60 Te.upf
Zn 65.41 Zn.upf
ATOMIC_POSITIONS crystal
Os 0.000 0.000 0.000
Os 0.500 0.500 0.000
Te 0.500 0.000 0.500
Zn 0.000 0.500 0.500
CELL_PARAMETERS angstrom
-2.787 -0.695 1.240
0.731 -4.720 -1.003
1.875 -0.541 3.910
! ΔE_f (raw) = 86.4 kJ per mole of atoms
! Crystal system = orthorhombic
! Relative energy among the computed polymorphs = 1.940 eV/f.u.

***

! ZnTeOs2 | Alexandria via LeMat-Bulk | GGA-PBE | optimized geometry; values from VASP
&SYSTEM
  ibrav = 0, nat = 8, ntyp = 3
/
ATOMIC_SPECIES
Zn 65.41 Zn.upf
Os 190.23 Os.upf
Te 127.60 Te.upf
ATOMIC_POSITIONS crystal
Zn 0.500 0.500 0.000
Os 0.614 0.125 0.250
Os 0.375 0.386 0.750
Os 0.136 0.625 0.250
Zn 0.250 0.750 0.500
Te 0.750 0.250 0.500
Os 0.875 0.864 0.750
Te 0.000 0.000 0.000
CELL_PARAMETERS angstrom
-2.630 0.323 -5.171
3.113 -4.537 -1.867
-3.715 -5.561 -1.722
! ΔE_f (raw) = 140.2 kJ per mole of atoms
! Crystal system = tetragonal
! Relative energy among the computed polymorphs = 4.170 eV/f.u.

***

! Zn4TeOs | Alexandria via LeMat-Bulk | GGA-PBE | optimized geometry; values from VASP
&SYSTEM
  ibrav = 0, nat = 6, ntyp = 3
/
ATOMIC_SPECIES
Zn 65.41 Zn.upf
Os 190.23 Os.upf
Te 127.60 Te.upf
ATOMIC_POSITIONS crystal
Zn 0.376 0.376 0.376
Zn 0.376 0.871 0.376
Os 0.750 0.750 0.750
Te 0.000 0.000 0.000
Zn 0.871 0.376 0.376
Zn 0.376 0.376 0.871
CELL_PARAMETERS angstrom
0.000 3.620 3.620
3.620 0.000 3.620
3.620 3.620 0.000
! ΔE_f (raw) = 34.4 kJ per mole of atoms
! Crystal system = cubic

***

! ZnTeOs | Alexandria via LeMat-Bulk | GGA-PBE | optimized geometry; values from VASP
&SYSTEM
  ibrav = 0, nat = 3, ntyp = 3
/
ATOMIC_SPECIES
Zn 65.41 Zn.upf
Os 190.23 Os.upf
Te 127.60 Te.upf
ATOMIC_POSITIONS crystal
Zn 0.333 0.667 0.666
Os 0.000 0.000 0.167
Te 0.667 0.333 0.167
CELL_PARAMETERS angstrom
-3.277 2.957 0.839
-0.761 -4.399 0.503
0.939 0.183 3.023
! ΔE_f (raw) = 66.9 kJ per mole of atoms
! Crystal system = hexagonal
! Relative energy among the computed polymorphs = 0.859 eV/f.u.

***

! ZnTeOs2 | Alexandria via LeMat-Bulk | GGA-PBE | optimized geometry; values from VASP
&SYSTEM
  ibrav = 0, nat = 4, ntyp = 3
/
ATOMIC_SPECIES
Te 127.60 Te.upf
Os 190.23 Os.upf
Zn 65.41 Zn.upf
ATOMIC_POSITIONS crystal
Te 0.500 0.500 0.500
Os 0.000 0.000 0.000
Zn 0.000 0.000 0.500
Os 0.500 0.500 0.000
CELL_PARAMETERS angstrom
3.045 0.000 0.000
0.000 5.116 0.006
0.000 3.271 4.175
! ΔE_f (raw) = 59.9 kJ per mole of atoms
! Crystal system = monoclinic
! Relative energy among the computed polymorphs = 0.840 eV/f.u.

***

Which value of ΔE_f (raw) does entry 2 give? 86.4 kJ per mole of atoms

***

Which of these has the highest ΔE_f (raw)? number 3